A geometry-optimized TbPr3Ho6Th2 structure, computed with GGA-PBE.

Geometry as CIF:
```
data_TbPr3Ho6Th2
_chemical_formula_sum 'Tb2 Pr6 Ho12 Th4'
_cell_length_a 6.222
_cell_length_b 10.770
_cell_length_c 11.791
_cell_angle_alpha 90.00
_cell_angle_beta 100.14
_cell_angle_gamma 90.00
_symmetry_space_group_name_H-M 'C 1 2/m 1'
_symmetry_Int_Tables_number 12
_symmetry_space_group_name_Hall '-C 2y'
loop_
_atom_site_label
_atom_site_type_symbol
_atom_site_fract_x
_atom_site_fract_y
_atom_site_fract_z
_atom_site_occupancy
Tb1 Tb 0.000 0.000 0.000 1
Pr1 Pr 0.000 0.166 0.500 1
Pr2 Pr 0.000 0.500 0.500 1
Ho1 Ho 0.244 0.500 0.244 1
Ho2 Ho 0.250 0.169 0.244 1
Th1 Th 0.000 0.333 0.000 1
```


A geometry-optimized TbPrHo3Th structure, computed with GGA-PBE.

Geometry as CIF:
```
data_TbPrHo3Th
_chemical_formula_sum 'Tb2 Pr2 Ho6 Th2'
_cell_length_a 7.978
_cell_length_b 5.068
_cell_length_c 10.132
_cell_angle_alpha 90.00
_cell_angle_beta 108.87
_cell_angle_gamma 90.00
_symmetry_space_group_name_H-M 'P 1 21/m 1'
_symmetry_Int_Tables_number 11
_symmetry_space_group_name_Hall '-P 2yb'
loop_
_atom_site_label
_atom_site_type_symbol
_atom_site_fract_x
_atom_site_fract_y
_atom_site_fract_z
_atom_site_occupancy
Tb1 Tb 0.001 0.250 0.371 1
Pr1 Pr 0.332 0.250 0.708 1
Ho1 Ho 0.324 0.250 0.206 1
Ho2 Ho 0.325 0.750 0.958 1
Ho3 Ho 0.331 0.750 0.456 1
Th1 Th 0.002 0.750 0.121 1
```


A geometry-optimized TbPr2Ho2Th2 structure, computed with GGA-PBE.

Geometry as CIF:
```
data_TbPr2Ho2Th2
_chemical_formula_sum 'Tb2 Pr4 Ho4 Th4'
_cell_length_a 17.815
_cell_length_b 3.489
_cell_length_c 8.573
_cell_angle_alpha 90.00
_cell_angle_beta 117.71
_cell_angle_gamma 90.00
_symmetry_space_group_name_H-M 'C 1 2/m 1'
_symmetry_Int_Tables_number 12
_symmetry_space_group_name_Hall '-C 2y'
loop_
_atom_site_label
_atom_site_type_symbol
_atom_site_fract_x
_atom_site_fract_y
_atom_site_fract_z
_atom_site_occupancy
Tb1 Tb 0.000 0.000 0.000 1
Pr1 Pr 0.144 0.500 0.870 1
Ho1 Ho 0.210 0.000 0.301 1
Th1 Th 0.066 0.500 0.405 1
```


A geometry-optimized TbPrHoTh structure, computed with GGA-PBE.

Geometry as CIF:
```
data_TbPrHoTh
_chemical_formula_sum 'Tb3 Pr3 Ho3 Th3'
_cell_length_a 3.6066
_cell_length_b 3.6066
_cell_length_c 34.8826
_cell_angle_alpha 90.00
_cell_angle_beta 90.00
_cell_angle_gamma 120.00
_symmetry_space_group_name_H-M 'R 3 m'
_symmetry_Int_Tables_number 160
_symmetry_space_group_name_Hall 'R 3 -2"'
loop_
_atom_site_label
_atom_site_type_symbol
_atom_site_fract_x
_atom_site_fract_y
_atom_site_fract_z
_atom_site_occupancy
Tb1 Tb 0.0000 0.0000 0.0000 1
Pr1 Pr 0.0000 0.0000 0.2468 1
Ho1 Ho 0.0000 0.0000 0.8272 1
Th1 Th 0.0000 0.0000 0.4137 1
```


A geometry-optimized TbPrHo5Th2 structure, computed with GGA-PBE.

Geometry as CIF:
```
data_TbPrHo5Th2
_chemical_formula_sum 'Tb4 Pr4 Ho20 Th8'
_cell_length_a 8.760
_cell_length_b 8.760
_cell_length_c 15.477
_cell_angle_alpha 90.00
_cell_angle_beta 90.00
_cell_angle_gamma 90.00
_symmetry_space_group_name_H-M 'I 4/m c m'
_symmetry_Int_Tables_number 140
_symmetry_space_group_name_Hall '-I 4 2c'
loop_
_atom_site_label
_atom_site_type_symbol
_atom_site_fract_x
_atom_site_fract_y
_atom_site_fract_z
_atom_site_occupancy
Tb1 Tb 0.000 0.000 0.250 1
Pr1 Pr 0.000 0.500 0.250 1
Ho1 Ho 0.000 0.000 0.000 1
Ho2 Ho 0.208 0.292 0.139 1
Th1 Th 0.119 0.381 0.500 1
```


A geometry-optimized Tb3Pr2Ho6Th structure, computed with GGA-PBE.

Geometry as CIF:
```
data_Tb3Pr2Ho6Th
_chemical_formula_sum 'Tb6 Pr4 Ho12 Th2'
_cell_length_a 6.203
_cell_length_b 10.734
_cell_length_c 11.768
_cell_angle_alpha 90.00
_cell_angle_beta 100.10
_cell_angle_gamma 90.00
_symmetry_space_group_name_H-M 'C 1 2/m 1'
_symmetry_Int_Tables_number 12
_symmetry_space_group_name_Hall '-C 2y'
loop_
_atom_site_label
_atom_site_type_symbol
_atom_site_fract_x
_atom_site_fract_y
_atom_site_fract_z
_atom_site_occupancy
Tb1 Tb 0.000 0.000 0.000 1
Tb2 Tb 0.000 0.333 0.000 1
Pr1 Pr 0.000 0.167 0.500 1
Ho1 Ho 0.245 0.500 0.249 1
Ho2 Ho 0.249 0.335 0.751 1
Th1 Th 0.000 0.500 0.500 1
```


no.,N(E_F) (states/eV per cell),density (g/cm³),calculated total energy (eV/atom)
1,31.3,8.7,-5.09
2,17.9,8.8,-5.07
3,21.2,8.7,-5.28
4,17.4,8.8,-5.34
5,48.9,8.9,-4.91
6,30.9,8.5,-4.83